No. 1
An optimized crystal structure of PmMgSnPb. Source: Alexandria, functional GGA-PBE.

a b c (Å): 4.5267 4.8620 4.8337
angles (deg): 90.00 90.00 90.00
Element x y z (fractional)
Pm (0.0000, 0.5000, 0.5000)
Mg (0.0000, 0.0000, 0.0000)
Pb (0.5000, 0.0000, 0.5000)
Sn (0.5000, 0.5000, 0.0000)

Summary:
Symmetry   Pmmm (47)
V   106 Å³/cell
Raw total energy   -3.968 eV per atom

=====

No. 2
An optimized crystal structure of PmMgSnPb. Source: Alexandria, functional GGA-PBE.

a b c (Å): 5.3800 5.3800 5.3800
angles (deg): 60.00 60.00 60.00
Element x y z (fractional)
Mg (0.5000, 0.5000, 0.5000)
Sn (0.2500, 0.2500, 0.2500)
Pm (0.0000, 0.0000, 0.0000)
Pb (0.7500, 0.7500, 0.7500)

Summary:
Symmetry   F-43m (216)
V   110 Å³/cell
Raw total energy   -3.796 eV per atom

=====

No. 3
An optimized crystal structure of SrPmMgPb. Source: Alexandria, functional GGA-PBE.

a b c (Å): 5.6280 5.6280 5.6280
angles (deg): 60.00 60.00 60.00
Element x y z (fractional)
Pb (0.5000, 0.5000, 0.5000)
Pm (0.2500, 0.2500, 0.2500)
Mg (0.0000, 0.0000, 0.0000)
Sr (0.7500, 0.7500, 0.7500)

Summary:
Symmetry   F-43m (216)
V   126 Å³/cell
Raw total energy   -3.211 eV per atom

=====

No. 4
An optimized crystal structure of PmThMgPb. Source: Alexandria, functional GGA-PBE.

a b c (Å): 5.5097 5.5097 5.5097
angles (deg): 60.00 60.00 60.00
Element x y z (fractional)
Pb (0.0000, 0.0000, 0.0000)
Pm (0.2500, 0.2500, 0.2500)
Mg (0.5000, 0.5000, 0.5000)
Th (0.7500, 0.7500, 0.7500)

Summary:
Symmetry   F-43m (216)
V   118 Å³/cell
Raw total energy   -4.514 eV per atom

=====

No. 5
An optimized crystal structure of PmMgTlPb. Source: Alexandria, functional GGA-PBE.

a b c (Å): 4.5235 4.9757 4.8142
angles (deg): 90.00 90.00 90.00
Element x y z (fractional)
Tl (0.0000, 0.0000, 0.0000)
Pb (0.0000, 0.5000, 0.5000)
Mg (0.5000, 0.0000, 0.5000)
Pm (0.5000, 0.5000, 0.0000)

Summary:
Symmetry   Pmmm (47)
V   108 Å³/cell
Raw total energy   -3.463 eV per atom

=====

No. 6
An optimized crystal structure of PmMgTlPb. Source: Alexandria, functional GGA-PBE.

a b c (Å): 5.3972 5.3972 5.3972
angles (deg): 60.00 60.00 60.00
Element x y z (fractional)
Pb (0.2500, 0.2500, 0.2500)
Mg (0.0000, 0.0000, 0.0000)
Pm (0.5000, 0.5000, 0.5000)
Tl (0.7500, 0.7500, 0.7500)

Summary:
Symmetry   F-43m (216)
V   111 Å³/cell
Raw total energy   -3.335 eV per atom

=====

No. 7
An optimized crystal structure of PmYMgPb. Source: Alexandria, functional GGA-PBE.

a b c (Å): 5.4186 5.4186 5.4186
angles (deg): 60.00 60.00 60.00
Element x y z (fractional)
Mg (0.7500, 0.7500, 0.7500)
Pm (0.5000, 0.5000, 0.5000)
Pb (0.2500, 0.2500, 0.2500)
Y (0.0000, 0.0000, 0.0000)

Summary:
Symmetry   F-43m (216)
V   112 Å³/cell
Raw total energy   -4.447 eV per atom

=====

No. 8
An optimized crystal structure of PmMgZnPb. Source: Alexandria, functional GGA-PBE.

a b c (Å): 5.1975 5.1975 5.1975
angles (deg): 60.00 60.00 60.00
Element x y z (fractional)
Zn (0.0000, 0.0000, 0.0000)
Pb (0.5000, 0.5000, 0.5000)
Mg (0.2500, 0.2500, 0.2500)
Pm (0.7500, 0.7500, 0.7500)

Summary:
Symmetry   F-43m (216)
V   99 Å³/cell
Raw total energy   -3.055 eV per atom

=====

No. 9
An optimized crystal structure of PmMgZnPb. Source: Alexandria, functional GGA-PBE.

a b c (Å): 4.4187 4.6835 4.7374
angles (deg): 90.00 90.00 90.00
Element x y z (fractional)
Pb (0.0000, 0.5000, 0.5000)
Mg (0.5000, 0.5000, 0.0000)
Pm (0.5000, 0.0000, 0.5000)
Zn (0.0000, 0.0000, 0.0000)

Summary:
Symmetry   Pmmm (47)
V   98 Å³/cell
Raw total energy   -3.151 eV per atom

=====

No. 10
An optimized crystal structure of Pr3Mg2Pb4. Source: Alexandria, functional GGA-PBE.

a b c (Å): 4.7602 6.7841 9.6513
angles (deg): 112.25 90.00 110.54
Element x y z (fractional)
Mg (0.3109, 0.6218, 0.6361)
Pb (0.3000, 0.6000, 0.9313)
Mg (0.6891, 0.3782, 0.3639)
Pr (0.0000, 0.0000, 0.0000)
Pb (0.9279, 0.8557, 0.6127)
Pr (0.6279, 0.2558, 0.6943)
Pr (0.3721, 0.7442, 0.3057)
Pb (0.0721, 0.1443, 0.3873)
Pb (0.7000, 0.4000, 0.0687)

Summary:
Symmetry   C2/m (12)
V   267 Å³/cell
Raw total energy   -4.010 eV per atom

=====

No. 11
An optimized crystal structure of Pr4Mg3Pb. Source: Alexandria, functional GGA-PBE.

a b c (Å): 5.5371 5.5371 9.6359
angles (deg): 73.30 73.30 60.00
Element x y z (fractional)
Pr (0.8746, 0.8746, 0.3761)
Mg (0.7540, 0.7540, 0.7380)
Mg (0.5000, 0.5000, 0.5000)
Mg (0.2460, 0.2460, 0.2620)
Pb (0.0000, 0.0000, 0.0000)
Pr (0.3754, 0.3754, 0.8738)
Pr (0.1254, 0.1254, 0.6239)
Pr (0.6246, 0.6246, 0.1262)

Summary:
Symmetry   R-3m (166)
V   241 Å³/cell
Raw total energy   -3.683 eV per atom

=====

No. 12
An optimized crystal structure of Pr5Mg4Pb. Source: Alexandria, functional GGA-PBE.

a b c (Å): 3.9276 3.9276 19.6186
angles (deg): 90.00 90.00 90.00
Element x y z (fractional)
Pr (0.5000, 0.5000, 0.8973)
Pr (0.5000, 0.5000, 0.1027)
Mg (0.0000, 0.0000, 0.7961)
Mg (0.0000, 0.0000, 0.4005)
Pr (0.5000, 0.5000, 0.3004)
Mg (0.0000, 0.0000, 0.2039)
Pr (0.5000, 0.5000, 0.6996)
Pb (0.0000, 0.0000, 0.0000)
Pr (0.5000, 0.5000, 0.5000)
Mg (0.0000, 0.0000, 0.5995)

Summary:
Symmetry   P4/mmm (123)
V   303 Å³/cell
Raw total energy   -3.591 eV per atom

=====

Number 1: ΔH_f (0 K) -0.454 eV/atom. Number 2: ΔH_f (0 K) -0.282 eV/atom. Number 3: ΔH_f (0 K) -0.277 eV/atom. Number 4: ΔH_f (0 K) -0.146 eV/atom. Number 5: ΔH_f (0 K) -0.358 eV/atom. Number 6: ΔH_f (0 K) -0.230 eV/atom. Number 7: ΔH_f (0 K) -0.317 eV/atom. Number 8: ΔH_f (0 K) -0.223 eV/atom. Number 9: ΔH_f (0 K) -0.320 eV/atom. Number 10: ΔH_f (0 K) -0.414 eV/atom. Number 11: ΔH_f (0 K) -0.232 eV/atom. Number 12: ΔH_f (0 K) -0.192 eV/atom.